First-principles (PBE) data for a geometry-optimized PmSmHgIr structure, as listed in Alexandria.

SG: Pmm2
ΔE_f: -0.4990 eV per atom

Geometry as extended XYZ:
```
4
Lattice="3.680 0.000 0.000 0.000 5.136 0.000 0.000 0.000 5.127" Properties=species:S:1:pos:R:3 pbc="T T T"
Pm 1.840 0.000 4.122
Sm 1.840 2.568 1.578
Hg 0.000 2.568 4.158
Ir 0.000 0.000 1.501
```

First-principles (PBE) data for a geometry-optimized PmSmHgIr structure, as listed in Alexandria.

SG: F-43m
ΔE_f: -0.5316 eV per atom

Geometry as extended XYZ:
```
4
Lattice="-4.633 1.454 -1.735 -4.233 -1.073 2.742 -2.567 3.792 2.370" Properties=species:S:1:pos:R:3 pbc="T T T"
Ir -2.858 1.043 0.844
Hg -8.575 3.130 2.533
Sm -5.716 2.087 1.689
Pm 0.000 0.000 0.000
```

no.,excess energy over the best structure of this formula in the dataset (eV/atom)
1,0.033
2,0.000